1.
Density functional theory data (PBE) for a geometry-optimized ZrTa3O structure.

```
5
Lattice="-3.070 -2.981 2.430 3.845 -2.407 1.906 0.034 3.088 3.831" Properties=species:S:1:pos:R:3 pbc="T T T"
Zr 0.000 0.000 0.000
O 0.404 -1.150 4.084
Ta 1.923 -1.204 0.953
Ta -1.535 -1.490 1.215
Ta 0.017 1.544 1.916
```

Formation energy (no corrections) (kJ per mole of atoms): 238.9
Space-group type: Pm-3m (221)
N(E_F) (states/eV/atom): 1.608
Energy above the most stable polymorph in this dataset (meV/atom): 3080

2.
Density functional theory data (PBE) for a geometry-optimized MgIr2Au structure.

```
4
Lattice="-0.077 3.423 -3.402 0.349 -2.159 -4.302 -2.961 -0.826 3.721" Properties=species:S:1:pos:R:3 pbc="T T T"
Mg 0.136 0.632 -3.852
Au -1.451 1.614 -1.767
Ir -1.238 -1.177 -2.217
Ir 0.000 0.000 0.000
```

Space-group type: I-4m2 (119)
N(E_F) (states/eV/atom): 1.251
ΔH_f (0 K) (meV/atom): 2